The following is a DFT calculation (meta-GGA SCAN) of TcN2Cl at its PBEsol-relaxed geometry. Values from VASP.

volume: 11.4 A^3/atom
spin magnetization: 0.00 μB/atom
SG: R-3m (166)
uncorrected energy: -14.878 eV/atom
formation energy without anion corrections: 0.5271 eV per atom

The structure in Quantum ESPRESSO input format:
```
&SYSTEM
  ibrav = 0, nat = 4, ntyp = 3
/
ATOMIC_SPECIES
N 14.01 N.upf
Tc 98.00 Tc.upf
Cl 35.45 Cl.upf
ATOMIC_POSITIONS crystal
N 0.104 0.104 0.688
N 0.896 0.896 0.312
Tc 0.500 0.500 0.500
Cl 0.000 0.000 0.000
CELL_PARAMETERS angstrom
-2.800 0.740 -0.383
-1.712 -1.610 -1.735
-3.094 -3.805 4.125
```